Here is a relaxed structure of Tb3Tm3Pu from Alexandria. Energies are from PBE-GGA.

Properties
As for the volume: 225 Å³/f.u. The final energy is -5.75 eV/atom. The calculation puts the theoretical density at 9075 kg/m³. The calculation puts the formation energy at 195.0 meV/atom.

Lattice parameters (Å, degrees): 6.1015 6.1015 41.8025 90.00 90.00 120.00
Space group R-3 (No. 148, hexagonal axes)
Inequivalent atoms, fractional coordinates:
Tb 0.9999 0.3317 0.3681
Tm 0.0001 0.3334 0.2310
Pu 0.0000 0.0000 0.1667